(1)
Crystalline AlCuAg2 at its relaxed geometry, computed with PBE.

Calculated values
Density of states at the Fermi level (states/eV/f.u.): 1.090
ΔE_f (meV/atom): 235
Size of the total moment (Bohr magnetons per cell): 0.00

The structure in POSCAR format:
```
AlCuAg2
1.0
7.165 0.000 0.000
0.000 7.165 0.000
0.000 0.000 5.388
Al Cu Ag
4 4 8
direct
0.000 0.000 0.000
0.000 0.500 0.250
0.500 0.000 0.750
0.500 0.500 0.500
0.000 0.000 0.500
0.000 0.500 0.750
0.500 0.000 0.250
0.500 0.500 0.000
0.248 0.250 0.625
0.250 0.748 0.875
0.250 0.752 0.375
0.252 0.250 0.125
0.748 0.750 0.125
0.750 0.248 0.375
0.750 0.252 0.875
0.752 0.750 0.625
```

(2)
Crystalline Al6CuAg2 at its relaxed geometry, computed with PBE.

Calculated values
Density of states at the Fermi level (states/eV/f.u.): 3.105
ΔE_f (meV/atom): -55
Size of the total moment (Bohr magnetons per cell): 0.00

The structure in POSCAR format:
```
Al6CuAg2
1.0
6.657 -3.061 0.000
6.657 3.061 0.000
-1.283 0.000 3.972
Al Cu Ag
6 1 2
direct
0.076 0.602 0.340
0.232 0.768 0.000
0.398 0.924 0.660
0.602 0.076 0.340
0.768 0.232 0.000
0.924 0.398 0.660
0.000 0.000 0.500
0.336 0.336 0.837
0.664 0.664 0.163
```

(3)
Crystalline AlCuAg2 at its relaxed geometry, computed with PBE.

Calculated values
Density of states at the Fermi level (states/eV/f.u.): 0.984
ΔE_f (meV/atom): -1
Size of the total moment (Bohr magnetons per cell): 0.00

The structure in POSCAR format:
```
AlCuAg2
1.0
3.218 0.000 0.000
0.000 4.413 0.000
0.000 0.000 4.472
Al Cu Ag
1 1 2
direct
0.000 0.000 0.000
0.500 0.000 0.500
0.000 0.500 0.500
0.500 0.500 0.000
```

(4)
Crystalline AlCu2Ag at its relaxed geometry, computed with PBE.

Calculated values
Density of states at the Fermi level (states/eV/f.u.): 1.035
ΔE_f (meV/atom): -76
Size of the total moment (Bohr magnetons per cell): 0.00

The structure in POSCAR format:
```
AlCu2Ag
1.0
3.787 0.000 0.000
0.000 3.787 0.000
0.000 0.000 7.865
Al Cu Ag
2 4 2
direct
0.000 0.000 0.000
0.500 0.500 0.500
0.000 0.500 0.250
0.000 0.500 0.750
0.500 0.000 0.250
0.500 0.000 0.750
0.000 0.000 0.500
0.500 0.500 0.000
```

(5)
Crystalline Dy4AlCu2Ag at its relaxed geometry, computed with PBE.

Calculated values
Density of states at the Fermi level (states/eV/f.u.): 4.975
ΔE_f (meV/atom): -284
Size of the total moment (Bohr magnetons per cell): 0.00

The structure in POSCAR format:
```
Dy4AlCu2Ag
1.0
2.505 1.446 8.277
-2.505 1.446 8.277
0.000 -2.892 8.277
Dy Al Cu Ag
4 1 2 1
direct
0.124 0.124 0.124
0.375 0.375 0.375
0.625 0.625 0.625
0.876 0.876 0.876
0.500 0.500 0.500
0.243 0.243 0.243
0.757 0.757 0.757
0.000 0.000 0.000
```

(6)
Crystalline Dy4AlCuAg2 at its relaxed geometry, computed with PBE.

Calculated values
Density of states at the Fermi level (states/eV/f.u.): 4.547
ΔE_f (meV/atom): -309
Size of the total moment (Bohr magnetons per cell): 0.00

The structure in POSCAR format:
```
Dy4AlCuAg2
1.0
2.543 1.468 8.301
-2.543 1.468 8.301
0.000 -2.937 8.301
Dy Al Cu Ag
4 1 1 2
direct
0.120 0.120 0.120
0.371 0.371 0.371
0.629 0.629 0.629
0.880 0.880 0.880
0.500 0.500 0.500
0.000 0.000 0.000
0.244 0.244 0.244
0.756 0.756 0.756
```

(7)
Crystalline Dy2Al4Cu3Ag at its relaxed geometry, computed with PBE.

Calculated values
Density of states at the Fermi level (states/eV/f.u.): 5.163
ΔE_f (meV/atom): -387
Size of the total moment (Bohr magnetons per cell): 0.00

The structure in POSCAR format:
```
Dy2Al4Cu3Ag
1.0
4.147 0.000 0.000
0.000 4.147 0.000
0.000 0.000 10.468
Dy Al Cu Ag
2 4 3 1
direct
0.000 0.500 0.242
0.500 0.000 0.758
0.000 0.000 0.000
0.000 0.500 0.642
0.500 0.000 0.358
0.500 0.500 0.000
0.000 0.500 0.870
0.500 0.000 0.130
0.500 0.500 0.500
0.000 0.000 0.500
```

(8)
Crystalline Dy2Al3Cu12Ag at its relaxed geometry, computed with PBE.

Calculated values
Density of states at the Fermi level (states/eV/f.u.): 5.466
ΔE_f (meV/atom): 100
Size of the total moment (Bohr magnetons per cell): 0.00

The structure in POSCAR format:
```
Dy2Al3Cu12Ag
1.0
2.984 1.723 9.739
-2.984 1.723 9.739
0.000 -3.445 9.739
Dy Al Cu Ag
2 3 12 1
direct
0.141 0.141 0.141
0.859 0.859 0.859
0.000 0.500 0.500
0.500 0.000 0.500
0.500 0.500 0.000
0.066 0.623 0.623
0.084 0.084 0.685
0.084 0.685 0.084
0.315 0.916 0.916
0.377 0.377 0.934
0.377 0.934 0.377
0.623 0.066 0.623
0.623 0.623 0.066
0.685 0.084 0.084
0.916 0.315 0.916
0.916 0.916 0.315
0.934 0.377 0.377
0.500 0.500 0.500
```

- Which value of density of states at the Fermi level does entry 6 give?
  4.547 states/eV/f.u.

Repeat the first record exactly.
Crystalline AlCuAg2 at its relaxed geometry, computed with PBE.

Calculated values
Density of states at the Fermi level (states/eV/f.u.): 1.090
ΔE_f (meV/atom): 235
Size of the total moment (Bohr magnetons per cell): 0.00

The structure in POSCAR format:
```
AlCuAg2
1.0
7.165 0.000 0.000
0.000 7.165 0.000
0.000 0.000 5.388
Al Cu Ag
4 4 8
direct
0.000 0.000 0.000
0.000 0.500 0.250
0.500 0.000 0.750
0.500 0.500 0.500
0.000 0.000 0.500
0.000 0.500 0.750
0.500 0.000 0.250
0.500 0.500 0.000
0.248 0.250 0.625
0.250 0.748 0.875
0.250 0.752 0.375
0.252 0.250 0.125
0.748 0.750 0.125
0.750 0.248 0.375
0.750 0.252 0.875
0.752 0.750 0.625
```

- Which of these has the highest density of states at the Fermi level?
  Dy2Al3Cu12Ag